[1]
VASP calculation (GGA-PBE) on an optimized crystal structure of FeCu2Ru.

Summary:
As for the density: 9.39 g/cm³. For the total energy, the calculation gives -6.2907 eV/atom. Its crystal system is monoclinic.

a b c (Å): 4.607 4.607 4.513
angles (deg): 80.69 80.69 32.13
Each line ends with the local moment (μB).
Fractional coordinates of all 4 atoms:
Cu 0.999 0.999 0.004  0.07
Cu 0.501 0.501 0.496  0.07
Fe 0.250 0.250 0.250  2.53
Ru 0.750 0.750 0.750  0.21



[2]
VASP calculation (GGA-PBE) on an optimized crystal structure of Fe2Cu2Ru.

Summary:
As for the density: 8.96 g/cm³. For the total energy, the calculation gives -6.5213 eV/atom. Its crystal system is tetragonal.

a b c (Å): 6.937 6.937 2.617
angles (deg): 90.00 90.00 90.00
Each line ends with the local moment (μB).
Fractional coordinates of all 10 atoms:
Ru 0.000 0.000 0.000  0.13
Ru 0.500 0.500 0.000  0.14
Fe 0.176 0.676 0.500  2.69
Fe 0.676 0.824 0.500  2.66
Fe 0.824 0.324 0.500  2.69
Fe 0.324 0.176 0.500  2.66
Cu 0.378 0.878 0.000  0.17
Cu 0.878 0.622 0.000  0.17
Cu 0.622 0.122 0.000  0.17
Cu 0.122 0.378 0.000  0.17



| no. | DFT formation energy (eV/atom) |
| --- | --- |
| 1 | 0.192 |
| 2 | 0.357 |